# LaZn2Tc (PBE, relaxed)
# - Space group: F-43m
# - Volume: 19.25 Å³ per atom
# - Formation enthalpy at 0 K: 0.26 eV per atom
# - Total DFT energy (no corrections): -4.20 eV per atom
# - M_tot: 0.00 μB per formula unit
data_LaZn2Tc
_chemical_formula_sum 'La1 Zn2 Tc1'
_cell_length_a 4.7754
_cell_length_b 4.7754
_cell_length_c 4.7754
_cell_angle_alpha 60.00
_cell_angle_beta 60.00
_cell_angle_gamma 60.00
_space_group_name_H-M_alt 'P 1'
_space_group_IT_number 1
_space_group_name_Hall 'P 1'
loop_
_atom_site_label
_atom_site_type_symbol
_atom_site_fract_x
_atom_site_fract_y
_atom_site_fract_z
_atom_site_occupancy
La1 La 0.0000 0.0000 0.0000 1
Zn1 Zn 0.5000 0.5000 0.5000 1
Zn2 Zn 0.7500 0.7500 0.7500 1
Tc1 Tc 0.2500 0.2500 0.2500 1